[1]
The following is a DFT calculation (PBE-GGA) of a relaxed RbUSb2S8 crystal.

Results
Space group: P-3m1, No. 164
ΔE_f (raw) in eV per atom: -0.374

Cell lengths 7.4719, 7.4719, 9.1769 Å; angles 90.00, 90.00, 120.00 degrees
Positions (direct):
Rb  0.0000  0.0000  0.0000
U  0.0000  0.0000  0.5000
Sb  0.3333  0.6667  0.2423
Sb  0.6667  0.3333  0.7577
S  0.1534  0.3067  0.3244
S  0.1534  0.8466  0.3244
S  0.3067  0.1534  0.6756
S  0.3333  0.6667  0.9961
S  0.6667  0.3333  0.0039
S  0.6933  0.8466  0.3244
S  0.8466  0.1534  0.6756
S  0.8466  0.6933  0.6756

=====

[2]
The following is a DFT calculation (PBE-GGA) of a relaxed Rb2USbS6 crystal.

Results
Space group: R-3, No. 148
ΔE_f (raw) in eV per atom: -0.869

Cell lengths 7.3054, 7.3054, 7.3054 Å; angles 60.63, 60.63, 60.63 degrees
Positions (direct):
Rb  0.2494  0.2494  0.2494
Rb  0.7506  0.7506  0.7506
U  0.5000  0.5000  0.5000
Sb  0.0000  0.0000  0.0000
S  0.2204  0.7422  0.2921
S  0.2578  0.7079  0.7796
S  0.2921  0.2204  0.7422
S  0.7079  0.7796  0.2578
S  0.7422  0.2921  0.2204
S  0.7796  0.2578  0.7079

=====

[3]
The following is a DFT calculation (PBE-GGA) of a relaxed Rb2SbWS crystal.

Results
Space group: P4/mmm, No. 123
ΔE_f (raw) in eV per atom: 1.249

Cell lengths 7.1493, 7.1493, 5.0428 Å; angles 90.00, 90.00, 90.00 degrees
Positions (direct):
Rb  0.0000  0.5000  0.0000
Rb  0.5000  0.0000  0.0000
Sb  0.0000  0.0000  0.0000
W  0.5000  0.5000  0.5000
S  0.0000  0.0000  0.5000

=====

[4]
The following is a DFT calculation (PBE-GGA) of a relaxed Rb2YSb2S6 crystal.

Results
Space group: C2/m, No. 12
ΔE_f (raw) in eV per atom: -0.855

Cell lengths 7.1134, 7.1134, 8.6793 Å; angles 112.01, 112.01, 63.09 degrees
Positions (direct):
Rb  0.1971  0.1971  0.1618
Rb  0.8029  0.8029  0.8382
Y  0.0000  0.0000  0.5000
Sb  0.4422  0.4422  0.7933
Sb  0.5578  0.5578  0.2067
S  0.1859  0.7072  0.2291
S  0.2388  0.2388  0.5629
S  0.2928  0.8141  0.7709
S  0.7072  0.1859  0.2291
S  0.7612  0.7612  0.4371
S  0.8141  0.2928  0.7709

=====

[5]
The following is a DFT calculation (PBE-GGA) of a relaxed Rb2ZrSbS5 crystal.

Results
Space group: Cmc2_1, No. 36
ΔE_f (raw) in eV per atom: -0.969

Cell lengths 9.7238, 9.7238, 14.1140 Å; angles 90.00, 90.00, 155.03 degrees
Positions (direct):
Rb  0.1188  0.8812  0.5000
Rb  0.1356  0.8644  0.1433
Rb  0.8644  0.1356  0.6433
Rb  0.8812  0.1188  0.0000
Zr  0.2124  0.7876  0.8591
Zr  0.7876  0.2124  0.3591
Sb  0.4398  0.5602  0.2620
Sb  0.5602  0.4398  0.7620
S  0.0580  0.9420  0.8588
S  0.2972  0.7028  0.4652
S  0.3134  0.6866  0.2259
S  0.3330  0.6670  0.8258
S  0.4960  0.5040  0.1143
S  0.5040  0.4960  0.6143
S  0.6670  0.3330  0.3258
S  0.6866  0.3134  0.7259
S  0.7028  0.2972  0.9652
S  0.9420  0.0580  0.3588

=====

[6]
The following is a DFT calculation (PBE-GGA) of a relaxed RbZrSbS4 crystal.

Results
Space group: P2_1/m, No. 11
ΔE_f (raw) in eV per atom: -0.938

Cell lengths 6.9241, 7.3508, 8.9325 Å; angles 90.00, 101.09, 90.00 degrees
Positions (direct):
Rb  0.1564  0.2500  0.0928
Rb  0.8436  0.7500  0.9072
Zr  0.3695  0.2500  0.6754
Zr  0.6305  0.7500  0.3246
Sb  0.1346  0.7500  0.3967
Sb  0.8654  0.2500  0.6033
S  0.1320  0.0100  0.7067
S  0.1320  0.4900  0.7067
S  0.2959  0.7500  0.1619
S  0.4343  0.2500  0.4292
S  0.5657  0.7500  0.5708
S  0.7041  0.2500  0.8381
S  0.8680  0.5100  0.2933
S  0.8680  0.9900  0.2933

=====

[7]
The following is a DFT calculation (PBE-GGA) of a relaxed RbScS2 crystal.

Results
Space group: P4/mmm, No. 123
ΔE_f (raw) in eV per atom: -0.784

Cell lengths 5.0219, 5.0219, 3.5208 Å; angles 90.00, 90.00, 90.00 degrees
Positions (direct):
Rb  0.0000  0.0000  0.0000
Sc  0.5000  0.5000  0.0000
S  0.0000  0.5000  0.5000
S  0.5000  0.0000  0.5000

=====

[8]
The following is a DFT calculation (PBE-GGA) of a relaxed Rb3ScS3 crystal.

Results
Space group: P2_1/c, No. 14
Energy above the most stable polymorph in this dataset in meV/atom: 12
ΔE_f (raw) in eV per atom: -1.440

Cell lengths 8.2305, 13.8010, 10.5915 Å; angles 90.00, 127.30, 90.00 degrees
Positions (direct):
Rb  0.1136  0.1236  0.4740
Rb  0.1136  0.3764  0.9740
Rb  0.1694  0.1072  0.8895
Rb  0.1694  0.3928  0.3895
Rb  0.3331  0.6781  0.5473
Rb  0.3331  0.8219  0.0473
Rb  0.6669  0.1781  0.9527
Rb  0.6669  0.3219  0.4527
Rb  0.8306  0.6072  0.6105
Rb  0.8306  0.8928  0.1105
Rb  0.8864  0.6236  0.0260
Rb  0.8864  0.8764  0.5260
Sc  0.4467  0.0647  0.3412
Sc  0.4467  0.4353  0.8412
Sc  0.5533  0.5647  0.1588
Sc  0.5533  0.9353  0.6588
S  0.1843  0.1884  0.2034
S  0.1843  0.3116  0.7034
S  0.3322  0.5966  0.8678
S  0.3322  0.9034  0.3678
S  0.3686  0.5447  0.2668
S  0.3686  0.9553  0.7668
S  0.6314  0.0447  0.2332
S  0.6314  0.4553  0.7332
S  0.6678  0.0966  0.6322
S  0.6678  0.4034  0.1322
S  0.8157  0.6884  0.2966
S  0.8157  0.8116  0.7966

=====

[9]
The following is a DFT calculation (PBE-GGA) of a relaxed RbSc2S3 crystal.

Results
Space group: Cmcm, No. 63
Energy above the most stable polymorph in this dataset in meV/atom: 12
ΔE_f (raw) in eV per atom: -1.613

Cell lengths 6.8416, 6.8416, 6.8683 Å; angles 90.00, 90.00, 60.00 degrees
Positions (direct):
Rb  0.0008  0.9992  0.7500
Rb  0.9992  0.0008  0.2500
Sc  0.3333  0.3333  0.0000
Sc  0.3333  0.3333  0.5000
Sc  0.6667  0.6667  0.0000
Sc  0.6667  0.6667  0.5000
S  0.0001  0.4988  0.7500
S  0.9999  0.5012  0.2500
S  0.4988  0.0001  0.2500
S  0.5005  0.4995  0.2500
S  0.4995  0.5005  0.7500
S  0.5012  0.9999  0.7500

=====

[10]
The following is a DFT calculation (PBE-GGA) of a relaxed RbScS2 crystal.

Results
Space group: C2/c, No. 15
ΔE_f (raw) in eV per atom: -1.513

Cell lengths 6.9570, 6.9570, 17.8967 Å; angles 98.14, 98.14, 89.70 degrees
Positions (direct):
Rb  0.0551  0.7196  0.9234
Rb  0.2781  0.4551  0.5883
Rb  0.2804  0.9449  0.5766
Rb  0.4551  0.2781  0.0883
Rb  0.5449  0.7219  0.9117
Rb  0.7196  0.0551  0.4234
Rb  0.7219  0.5449  0.4117
Rb  0.9449  0.2804  0.0766
Sc  0.1437  0.8118  0.1673
Sc  0.1842  0.3488  0.3112
Sc  0.1882  0.8563  0.3327
Sc  0.3488  0.1842  0.8112
Sc  0.6512  0.8158  0.1888
Sc  0.8118  0.1437  0.6673
Sc  0.8158  0.6512  0.6888
Sc  0.8563  0.1882  0.8327
S  0.0725  0.3994  0.7509
S  0.0744  0.9256  0.7500
S  0.1567  0.2207  0.9249
S  0.2207  0.1567  0.4249
S  0.2252  0.6287  0.4247
S  0.3713  0.7748  0.0753
S  0.3970  0.6030  0.2500
S  0.3994  0.0725  0.2509
S  0.6006  0.9275  0.7491
S  0.6030  0.3970  0.7500
S  0.6287  0.2252  0.9247
S  0.7748  0.3713  0.5753
S  0.7793  0.8433  0.5751
S  0.8433  0.7793  0.0751
S  0.9256  0.0744  0.2500
S  0.9275  0.6006  0.2491

=====

[11]
The following is a DFT calculation (PBE-GGA) of a relaxed RbScS2 crystal.

Results
Space group: P3m1, No. 156
ΔE_f (raw) in eV per atom: -1.417

Cell lengths 4.2423, 4.2423, 7.8681 Å; angles 90.00, 90.00, 120.00 degrees
Positions (direct):
Rb  0.0000  0.0000  0.0000
Sc  0.3333  0.6667  0.4656
S  0.3333  0.6667  0.7507
S  0.6667  0.3333  0.3460

=====

[12]
The following is a DFT calculation (PBE-GGA) of a relaxed Rb2ScS crystal.

Results
Space group: I-42d, No. 122
ΔE_f (raw) in eV per atom: -0.426

Cell lengths 9.6225, 9.6225, 9.6225 Å; angles 93.71, 93.71, 150.55 degrees
Positions (direct):
Rb  0.3750  0.2090  0.3340
Rb  0.7910  0.1250  0.1660
Rb  0.8750  0.0410  0.6660
Rb  0.9590  0.6250  0.8340
Sc  0.2500  0.7500  0.5000
Sc  0.5000  0.5000  0.0000
S  0.0000  0.0000  0.0000
S  0.7500  0.2500  0.5000

=====

[13]
The following is a DFT calculation (PBE-GGA) of a relaxed Rb2Sc3S6 crystal.

Results
Space group: C2/m, No. 12
ΔE_f (raw) in eV per atom: -1.642

Cell lengths 6.4991, 6.4991, 8.1768 Å; angles 97.61, 97.61, 120.00 degrees
Positions (direct):
Rb  0.1667  0.8333  0.0000
Rb  0.8333  0.1667  0.0000
Sc  0.0000  0.0000  0.5000
Sc  0.3334  0.6666  0.5000
Sc  0.6666  0.3334  0.5000
S  0.0612  0.3937  0.6814
S  0.2737  0.2737  0.3186
S  0.3937  0.0612  0.6814
S  0.6063  0.9388  0.3186
S  0.7263  0.7263  0.6814
S  0.9388  0.6063  0.3186

=====

[14]
The following is a DFT calculation (PBE-GGA) of a relaxed RbScS2 crystal.

Results
Space group: P-1, No. 2
ΔE_f (raw) in eV per atom: -1.656

Cell lengths 3.7527, 6.7918, 8.9206 Å; angles 95.52, 90.02, 90.28 degrees
Positions (direct):
Rb  0.2469  0.2302  0.3704
Rb  0.7531  0.7698  0.6296
Sc  0.2484  0.3364  0.8718
Sc  0.7516  0.6636  0.1282
S  0.2518  0.7021  0.9276
S  0.2524  0.7321  0.3167
S  0.7476  0.2679  0.6833
S  0.7482  0.2979  0.0724

=====

[15]
The following is a DFT calculation (PBE-GGA) of a relaxed Rb5ScS4 crystal.

Results
Space group: C2/m, No. 12
ΔE_f (raw) in eV per atom: -1.070

Cell lengths 10.2069, 10.2069, 8.4033 Å; angles 113.82, 113.82, 25.05 degrees
Positions (direct):
Rb  0.0000  0.0000  0.0000
Rb  0.3325  0.3325  0.5897
Rb  0.3329  0.3329  0.0832
Rb  0.6671  0.6671  0.9168
Rb  0.6675  0.6675  0.4103
Sc  0.0000  0.0000  0.5000
S  0.1513  0.1513  0.6486
S  0.5001  0.5001  0.2931
S  0.4999  0.4999  0.7069
S  0.8487  0.8487  0.3514

=====

[16]
The following is a DFT calculation (PBE-GGA) of a relaxed RbScS2 crystal.

Results
Space group: C2/c, No. 15
ΔE_f (raw) in eV per atom: -1.640

Cell lengths 7.9821, 7.9821, 15.7273 Å; angles 97.25, 97.25, 90.00 degrees
Positions (direct):
Rb  0.1534  0.7799  0.6162
Rb  0.2201  0.8466  0.8838
Rb  0.2216  0.3461  0.8881
Rb  0.3461  0.2216  0.3881
Rb  0.6539  0.7784  0.6119
Rb  0.7784  0.6539  0.1119
Rb  0.7799  0.1534  0.1162
Rb  0.8466  0.2201  0.3838
Sc  0.0885  0.7104  0.3425
Sc  0.2896  0.4172  0.1576
Sc  0.2896  0.9115  0.1575
Sc  0.4172  0.2896  0.6576
Sc  0.5828  0.7104  0.3424
Sc  0.7104  0.0885  0.8425
Sc  0.7104  0.5828  0.8424
Sc  0.9115  0.2896  0.6575
S  0.0636  0.4383  0.2501
S  0.0636  0.9364  0.2500
S  0.1418  0.2666  0.5674
S  0.2658  0.6411  0.0635
S  0.2666  0.1418  0.0674
S  0.3589  0.7342  0.4365
S  0.4383  0.0636  0.7501
S  0.4383  0.5617  0.7500
S  0.5617  0.4383  0.2500
S  0.5617  0.9364  0.2499
S  0.6411  0.2658  0.5635
S  0.7333  0.8582  0.9326
S  0.7342  0.3589  0.9365
S  0.8582  0.7333  0.4326
S  0.9364  0.0636  0.7500
S  0.9364  0.5617  0.7499

=====

[17]
The following is a DFT calculation (PBE-GGA) of a relaxed RbScS2 crystal.

Results
Space group: Fm-3m, No. 225
ΔE_f (raw) in eV per atom: -0.914

Cell lengths 4.9698, 4.9698, 4.9698 Å; angles 60.00, 60.00, 60.00 degrees
Positions (direct):
Rb  0.0000  0.0000  0.0000
Sc  0.5000  0.5000  0.5000
S  0.2500  0.2500  0.2500
S  0.7500  0.7500  0.7500

=====

[18]
The following is a DFT calculation (PBE-GGA) of a relaxed RbScS2 crystal.

Results
Space group: P4/mmm, No. 123
ΔE_f (raw) in eV per atom: -0.989

Cell lengths 4.1820, 4.1820, 5.6814 Å; angles 90.00, 90.00, 90.00 degrees
Positions (direct):
Rb  0.0000  0.0000  0.0000
Sc  0.5000  0.5000  0.5000
S  0.0000  0.0000  0.5000
S  0.5000  0.5000  0.0000

=====

[19]
The following is a DFT calculation (PBE-GGA) of a relaxed RbScS2 crystal.

Results
Space group: Cmcm, No. 63
ΔE_f (raw) in eV per atom: -1.200

Cell lengths 10.7866, 10.7866, 5.6940 Å; angles 90.00, 90.00, 159.90 degrees
Positions (direct):
Rb  0.0564  0.9436  0.7500
Rb  0.9436  0.0564  0.2500
Sc  0.3133  0.6867  0.7500
Sc  0.6867  0.3133  0.2500
S  0.1071  0.8929  0.2500
S  0.2023  0.7977  0.7500
S  0.7977  0.2023  0.2500
S  0.8929  0.1071  0.7500

=====

[20]
The following is a DFT calculation (PBE-GGA) of a relaxed RbSc5S8 crystal.

Results
Space group: C2/m, No. 12
ΔE_f (raw) in eV per atom: -1.882

Cell lengths 9.7706, 9.7706, 9.2897 Å; angles 104.48, 104.48, 22.09 degrees
Positions (direct):
Rb  0.0000  0.0000  0.0000
Sc  0.1564  0.1564  0.4617
Sc  0.2046  0.2046  0.8413
Sc  0.5000  0.5000  0.5000
Sc  0.7954  0.7954  0.1587
Sc  0.8436  0.8436  0.5383
S  0.0780  0.0780  0.6496
S  0.2663  0.2663  0.3480
S  0.3309  0.3309  0.0105
S  0.4167  0.4167  0.6812
S  0.5833  0.5833  0.3188
S  0.6691  0.6691  0.9895
S  0.7337  0.7337  0.6520
S  0.9220  0.9220  0.3504